Density functional theory data (PBE) for a relaxed structure of AlPbW2I.

## Properties
energy relative to the elements, uncorrected: 2.61 eV per atom
space group: No. 123
offset from the most stable computed form: 614 meV/atom
mass density: 8.75 Mg/m³
M_tot: 0.00 μB per cell

Cell: 5.220 5.078 5.220 Å, 90.00 90.00 90.00°
Atoms (fractional coordinates):
Pb1 0.000 0.000 0.000
I1 0.500 0.500 0.500
Al1 0.000 0.500 0.000
W1 0.000 0.000 0.500
W2 0.500 0.000 0.000

---

Density functional theory data (PBE) for a relaxed structure of Zr2W.

## Properties
space group: No. 225
offset from the most stable computed form: 445 meV/atom
mass density: 8.78 Mg/m³
DFT formation energy: 51.4 kJ/mol of atoms
M_tot: 0.00 μB per cell

Cell: 6.520 6.520 6.520 Å, 90.00 90.00 90.00°
Atoms (fractional coordinates):
Zr1 0.250 0.750 0.750
Zr2 0.250 0.750 0.250
Zr3 0.250 0.250 0.750
Zr4 0.250 0.250 0.250
Zr5 0.750 0.750 0.750
Zr6 0.750 0.750 0.250
Zr7 0.750 0.250 0.750
Zr8 0.750 0.250 0.250
W1 0.000 0.000 0.000
W2 0.000 0.500 0.500
W3 0.500 0.000 0.500
W4 0.500 0.500 0.000

---

Density functional theory data (PBE) for a relaxed structure of Ca3ZrNp3N8.

## Properties
energy relative to the elements, uncorrected: -1.15 eV per atom
space group: No. 166
mass density: 7.46 Mg/m³
M_tot: 7.00 μB per cell

Cell: 6.835 6.835 6.923 Å, 119.58 90.00 120.00°
Last column: magnetic moment on the atom in μB.
Atoms (fractional coordinates):
Ca1 0.000 0.000 0.000  0.02
Ca2 0.000 0.500 0.000  0.02
Ca3 0.500 0.500 0.000  0.02
Zr1 0.000 0.000 0.500  0.05
Np1 0.500 0.000 0.500  2.53
Np2 0.500 0.500 0.500  2.53
Np3 0.000 0.500 0.500  2.52
N1 0.259 0.518 0.277  -0.11
N2 0.741 0.482 0.723  -0.11
N3 0.771 0.541 0.305  -0.11
N4 0.229 0.459 0.695  -0.11
N5 0.771 0.034 0.305  -0.11
N6 0.229 0.966 0.695  -0.11
N7 0.264 0.034 0.305  -0.11
N8 0.736 0.966 0.695  -0.11

---

Density functional theory data (PBE) for a relaxed structure of PC3Cl.

## Properties
energy relative to the elements, uncorrected: 3.60 eV per atom
space group: No. 221
offset from the most stable computed form: 1171 meV/atom
mass density: 3.23 Mg/m³
M_tot: 0.00 μB per cell

Cell: 3.749 3.749 3.749 Å, 90.00 90.00 90.00°
Atoms (fractional coordinates):
P1 0.500 0.500 0.500
C1 0.000 0.500 0.000
C2 0.000 0.000 0.500
C3 0.500 0.000 0.000
Cl1 0.000 0.000 0.000

---

Density functional theory data (PBE) for a relaxed structure of Pr3Ga2Hg.

## Properties
space group: No. 123
mass density: 7.86 Mg/m³
DFT formation energy: -50.2 kJ/mol of atoms
M_tot: 0.00 μB per cell

Cell: 3.709 3.709 11.711 Å, 90.00 90.00 90.00°
Atoms (fractional coordinates):
Pr1 0.000 0.000 0.000
Pr2 0.000 0.000 0.679
Pr3 0.000 0.000 0.321
Ga1 0.500 0.500 0.835
Ga2 0.500 0.500 0.165
Hg1 0.500 0.500 0.500

---

Density functional theory data (PBE) for a relaxed structure of CsNaAsAu.

## Properties
space group: No. 38
mass density: 4.73 Mg/m³
DFT formation energy: -39.6 kJ/mol of atoms
M_tot: 0.00 μB per cell

Cell: 4.704 5.141 6.724 Å, 112.48 90.00 90.00°
Atoms (fractional coordinates):
Cs1 0.500 0.211 0.422
Na1 0.000 0.956 0.913
As1 0.000 0.564 0.127
Au1 0.500 0.497 0.994

---

Density functional theory data (PBE) for a relaxed structure of BaCu2SeO2.

## Properties
energy relative to the elements, uncorrected: -1.00 eV per atom
space group: No. 11
mass density: 4.68 Mg/m³
M_tot: 0.00 μB per cell

Cell: 5.671 8.535 7.280 Å, 130.88 90.00 90.00°
Atoms (fractional coordinates):
Ba1 0.250 0.218 0.093
Ba2 0.750 0.782 0.907
Cu1 0.250 0.955 0.278
Cu2 0.250 0.802 0.489
Cu3 0.750 0.045 0.722
Cu4 0.750 0.198 0.511
Se1 0.750 0.401 0.930
Se2 0.250 0.599 0.070
O1 0.506 0.099 0.283
O2 0.994 0.099 0.283
O3 0.006 0.901 0.717
O4 0.494 0.901 0.717

---

Density functional theory data (PBE) for a relaxed structure of Tb2ErTm.

## Properties
space group: No. 225
offset from the most stable computed form: 130 meV/atom
mass density: 8.65 Mg/m³
DFT formation energy: 12.9 kJ/mol of atoms
M_tot: 0.00 μB per cell

Cell: 5.620 5.620 5.620 Å, 60.00 60.00 60.00°
Atoms (fractional coordinates):
Tm1 0.500 0.500 0.500
Tb1 0.250 0.250 0.250
Tb2 0.750 0.750 0.750
Er1 0.000 0.000 0.000

---

Density functional theory data (PBE) for a relaxed structure of ZrScSe.

## Properties
energy relative to the elements, uncorrected: -0.93 eV per atom
space group: No. 8
offset from the most stable computed form: 84 meV/atom
mass density: 5.84 Mg/m³
M_tot: 0.00 μB per cell

Cell: 5.634 3.493 12.446 Å, 90.00 91.82 90.00°
Atoms (fractional coordinates):
Zr1 0.338 0.000 0.669
Zr2 0.338 0.500 0.169
Zr3 0.115 0.000 0.362
Zr4 0.115 0.500 0.862
Sc1 0.566 0.000 0.970
Sc2 0.566 0.500 0.470
Sc3 0.838 0.000 0.668
Sc4 0.838 0.500 0.168
Se1 0.069 0.000 0.031
Se2 0.069 0.500 0.531
Se3 0.611 0.000 0.304
Se4 0.611 0.500 0.804

---

Density functional theory data (PBE) for a relaxed structure of Mg2ScRh.

## Properties
space group: No. 10
mass density: 4.34 Mg/m³
DFT formation energy: -28.0 kJ/mol of atoms
M_tot: 0.00 μB per cell

Cell: 4.653 3.095 5.425 Å, 74.00 90.00 90.00°
Atoms (fractional coordinates):
Mg1 0.000 0.082 0.025
Mg2 0.000 0.418 0.475
Rh1 0.500 0.250 0.250
Sc1 0.500 0.750 0.750

---

Density functional theory data (PBE) for a relaxed structure of Ni3C.

## Properties
space group: No. 221
offset from the most stable computed form: 286 meV/atom
mass density: 6.24 Mg/m³
DFT formation energy: 33.5 kJ/mol of atoms
M_tot: 0.00 μB per cell

Cell: 3.685 3.685 3.685 Å, 90.00 90.00 90.00°
Atoms (fractional coordinates):
Ni1 0.500 0.000 0.000
Ni2 0.000 0.500 0.000
Ni3 0.000 0.000 0.500
C1 0.000 0.000 0.000

---

Density functional theory data (PBE) for a relaxed structure of ScTaN2.

## Properties
energy relative to the elements, uncorrected: -1.65 eV per atom
space group: No. 194
offset from the most stable computed form: 0 meV/atom
mass density: 9.67 Mg/m³
M_tot: 0.00 μB per cell

Cell: 3.076 3.076 10.635 Å, 90.00 90.00 120.00°
Atoms (fractional coordinates):
Sc1 0.000 0.000 0.000
Sc2 0.000 0.000 0.500
Ta1 0.333 0.667 0.250
Ta2 0.667 0.333 0.750
N1 0.333 0.667 0.625
N2 0.667 0.333 0.375
N3 0.667 0.333 0.125
N4 0.333 0.667 0.875

---

Density functional theory data (PBE) for a relaxed structure of BaPmAu3.

## Properties
space group: No. 63
mass density: 10.37 Mg/m³
DFT formation energy: -73.3 kJ/mol of atoms
M_tot: 0.00 μB per cell

Cell: 4.083 4.726 14.635 Å, 90.00 98.02 90.00°
Atoms (fractional coordinates):
Ba1 0.925 0.750 0.850
Ba2 0.075 0.250 0.150
Pm1 0.206 0.750 0.411
Pm2 0.794 0.250 0.589
Au1 0.627 0.750 0.253
Au2 0.373 0.250 0.747
Au3 0.528 0.750 0.055
Au4 0.472 0.250 0.945
Au5 0.690 0.250 0.379
Au6 0.310 0.750 0.621

---

Density functional theory data (PBE) for a relaxed structure of Sm2MnP3Rh12.

## Properties
space group: No. 166
mass density: 9.06 Mg/m³
DFT formation energy: -21.1 kJ/mol of atoms
M_tot: 4.01 μB per cell

Cell: 6.950 6.950 6.950 Å, 75.61 75.61 75.61°
Last column: magnetic moment on the atom in μB.
Atoms (fractional coordinates):
Sm1 0.608 0.608 0.608  0.03
Sm2 0.392 0.392 0.392  0.03
Mn1 0.000 0.000 0.000  3.72
P1 0.500 0.000 0.000  0.00
P2 0.000 0.500 0.000  0.00
P3 0.000 0.000 0.500  0.00
Rh1 0.335 0.335 0.914  0.01
Rh2 0.848 0.848 0.356  -0.01
Rh3 0.356 0.848 0.848  -0.01
Rh4 0.914 0.335 0.335  0.01
Rh5 0.848 0.356 0.848  -0.01
Rh6 0.335 0.914 0.335  0.01
Rh7 0.665 0.665 0.086  0.01
Rh8 0.152 0.152 0.644  -0.01
Rh9 0.644 0.152 0.152  -0.01
Rh10 0.086 0.665 0.665  0.01
Rh11 0.152 0.644 0.152  -0.01
Rh12 0.665 0.086 0.665  0.01

---

Density functional theory data (PBE) for a relaxed structure of Sn2Ge2Pb.

## Properties
space group: No. 139
offset from the most stable computed form: 46 meV/atom
mass density: 7.26 Mg/m³
DFT formation energy: 19.4 kJ/mol of atoms
M_tot: 0.00 μB per cell

Cell: 4.531 4.531 7.315 Å, 71.96 71.96 90.00°
Atoms (fractional coordinates):
Pb1 0.000 0.000 0.000
Ge1 0.400 0.400 0.201
Ge2 0.600 0.600 0.799
Sn1 0.750 0.250 0.500
Sn2 0.250 0.750 0.500

---

Density functional theory data (PBE) for a relaxed structure of RbCe2GeO8.

## Properties
energy relative to the elements, uncorrected: -2.08 eV per atom
space group: No. 12
mass density: 5.20 Mg/m³
M_tot: 1.03 μB per cell

Cell: 4.700 4.700 8.212 Å, 87.19 87.20 90.45°
Last column: magnetic moment on the atom in μB.
Atoms (fractional coordinates):
Rb1 0.000 0.000 0.500  0.00
Ce1 0.462 0.462 0.793  -0.02
Ce2 0.538 0.538 0.207  -0.02
Ge1 0.000 0.000 0.000  -0.01
O1 0.145 0.767 0.179  0.12
O2 0.713 0.713 0.974  0.10
O3 0.767 0.145 0.179  0.12
O4 0.855 0.233 0.821  0.12
O5 0.287 0.287 0.026  0.10
O6 0.233 0.855 0.821  0.12
O7 0.608 0.608 0.499  0.12
O8 0.392 0.392 0.501  0.12

---

Density functional theory data (PBE) for a relaxed structure of SnPtI2O.

## Properties
energy relative to the elements, uncorrected: -0.03 eV per atom
space group: No. 123
offset from the most stable computed form: 0 meV/atom
mass density: 7.47 Mg/m³
M_tot: 0.01 μB per cell

Cell: 5.780 5.780 3.885 Å, 90.00 90.00 90.00°
Atoms (fractional coordinates):
I1 0.000 0.500 0.000
I2 0.500 0.000 0.000
O1 0.000 0.000 0.500
Sn1 0.500 0.500 0.500
Pt1 0.000 0.000 0.000

---

Density functional theory data (PBE) for a relaxed structure of HfZr4Ta3N8.

## Properties
energy relative to the elements, uncorrected: -1.41 eV per atom
space group: No. 166
mass density: 10.72 Mg/m³
M_tot: 0.00 μB per cell

Cell: 6.396 6.410 6.396 Å, 119.93 120.00 90.00°
Atoms (fractional coordinates):
Hf1 0.000 0.500 0.000
Zr1 0.500 0.000 0.000
Zr2 0.500 0.000 0.500
Zr3 0.000 0.000 0.000
Zr4 0.000 0.000 0.500
Ta1 0.500 0.500 0.000
Ta2 0.500 0.500 0.500
Ta3 0.000 0.500 0.500
N1 0.246 0.735 0.989
N2 0.246 0.735 0.492
N3 0.255 0.266 0.511
N4 0.743 0.735 0.989
N5 0.257 0.265 0.011
N6 0.745 0.734 0.489
N7 0.754 0.265 0.508
N8 0.754 0.265 0.011

---

Density functional theory data (PBE) for a relaxed structure of LaPm3Ho7.

## Properties
space group: No. 71
offset from the most stable computed form: 106 meV/atom
mass density: 7.77 Mg/m³
DFT formation energy: 24.2 kJ/mol of atoms
M_tot: 0.00 μB per cell

Cell: 5.857 8.466 8.466 Å, 83.45 110.24 110.24°
Atoms (fractional coordinates):
La1 0.500 0.500 0.500
Pm1 0.000 0.789 0.211
Pm2 0.500 0.000 0.000
Pm3 0.000 0.211 0.789
Ho1 0.203 0.203 0.203
Ho2 0.288 0.979 0.596
Ho3 0.712 0.404 0.021
Ho4 0.288 0.596 0.979
Ho5 0.000 0.500 0.500
Ho6 0.712 0.021 0.404
Ho7 0.797 0.797 0.797

---

Density functional theory data (PBE) for a relaxed structure of HoTm5Tl6.

## Properties
space group: No. 12
offset from the most stable computed form: 62 meV/atom
mass density: 10.91 Mg/m³
DFT formation energy: -22.5 kJ/mol of atoms
M_tot: 0.00 μB per cell

Cell: 6.381 9.839 7.423 Å, 48.49 81.54 77.17°
Atoms (fractional coordinates):
Ho1 0.000 0.000 0.000
Tm1 0.500 0.167 0.666
Tm2 0.000 0.334 0.332
Tm3 0.500 0.500 0.000
Tm4 0.000 0.666 0.668
Tm5 0.500 0.833 0.334
Tl1 0.749 0.083 0.335
Tl2 0.251 0.582 0.335
Tl3 0.252 0.250 0.000
Tl4 0.748 0.750 0.000
Tl5 0.749 0.418 0.665
Tl6 0.251 0.917 0.665